The following is a PBE calculation of a geometry-optimized Cd4NiSb structure, from Alexandria via LeMat-Bulk.

Summary:
The value obtained for the total magnetic moment is 0.0 μB/f.u. As for the space group: F-43m (216). The energy above the most stable polymorph in this dataset is 340 meV/atom. The density of states at the Fermi level is 2.68 states/eV/cell.

Geometry as POSCAR:
```
Cd4NiSb
1.0
0.000 4.042 4.042
4.042 0.000 4.042
4.042 4.042 0.000
Cd Ni Sb
4 1 1
Direct
0.376 0.873 0.376
0.873 0.376 0.376
0.376 0.376 0.873
0.376 0.376 0.376
0.750 0.750 0.750
0.000 0.000 0.000
```


The following is a PBE calculation of a geometry-optimized Cd2NiSb structure, from Alexandria via LeMat-Bulk.

Summary:
The value obtained for the total magnetic moment is 0.0 μB/f.u. As for the space group: P4/mmm (123). The density of states at the Fermi level is 1.81 states/eV/cell.

Geometry as POSCAR:
```
Cd2NiSb
1.0
-0.364 -2.537 -1.744
0.279 -1.776 2.526
-8.548 0.390 1.219
Cd Ni Sb
2 1 1
Direct
0.000 0.000 0.061
0.000 0.000 0.439
0.500 0.500 0.250
0.500 0.500 0.750
```


The following is a PBE calculation of a geometry-optimized CdNiSb2 structure, from Alexandria via LeMat-Bulk.

Summary:
The value obtained for the total magnetic moment is 0.0 μB/f.u. As for the space group: Immm (71). The density of states at the Fermi level is 2.34 states/eV/cell.

Geometry as POSCAR:
```
CdNiSb2
1.0
6.761 0.018 -0.011
4.426 5.111 0.011
-5.200 -3.422 2.637
Cd Ni Sb
1 1 2
Direct
0.250 0.750 0.500
0.750 0.250 0.500
0.918 0.918 0.000
0.582 0.582 0.000
```


Summary of raw formation energy in eV per atom
0.36, 0.12, 0.00
(order as listed above)